[1]
MgReW2 (GGA-PBEsol, relaxed); calculated formation energy = 0.5325 eV/atom; total energy = -10.13 eV per atom
1.0
3.919 0.000 0.000
0.000 3.919 0.000
0.000 0.000 4.059
Mg Re W
1 1 2
direct
0.500 0.500 0.500
0.000 0.000 0.500
0.000 0.500 0.000
0.500 0.000 0.000

[2]
Mg3ReW (GGA-PBEsol, relaxed); calculated formation energy = 2.0645 eV/atom; total energy = -4.39 eV per atom
1.0
-0.274 2.974 -3.867
3.735 -2.364 -2.083
-3.139 -3.073 -2.141
Re Mg W
1 3 1
direct
0.000 0.000 0.000
0.000 0.500 0.000
0.000 0.000 0.500
0.500 0.000 0.000
0.500 0.500 0.500

[3]
MgReW (GGA-PBEsol, relaxed); calculated formation energy = 0.8973 eV/atom; total energy = -8.72 eV per atom
1.0
-0.815 -2.234 3.557
-3.024 -3.026 -0.020
1.102 -4.127 0.234
Mg Re W
1 1 1
direct
0.500 0.500 0.500
0.250 0.250 0.250
0.000 0.000 0.000

[4]
MgRe2W2 (GGA-PBEsol, relaxed); calculated formation energy = 0.6969 eV/atom; total energy = -10.50 eV per atom
1.0
4.195 0.000 0.000
0.000 4.195 0.000
-2.098 -2.098 5.449
Re Mg W
2 1 2
direct
0.250 0.750 0.500
0.750 0.250 0.500
0.000 0.000 0.000
0.377 0.377 0.755
0.623 0.623 0.245

[5]
MgReW2 (GGA-PBEsol, relaxed); calculated formation energy = 0.4685 eV/atom; total energy = -10.20 eV per atom
1.0
3.237 0.000 0.000
0.000 4.356 0.000
0.000 0.000 4.389
Mg Re W
1 1 2
direct
0.500 0.000 0.500
0.000 0.500 0.500
0.000 0.000 0.000
0.500 0.500 0.000

[6]
Y2MgRe (GGA-PBEsol, relaxed); calculated formation energy = 0.0729 eV/atom; total energy = -7.10 eV per atom
1.0
3.429 0.000 0.000
0.000 3.429 0.000
0.000 0.000 8.077
Mg Re Y
1 1 2
direct
0.500 0.500 0.500
0.500 0.500 0.000
0.000 0.000 0.202
0.000 0.000 0.798

[7]
YMgRe (GGA-PBEsol, relaxed); calculated formation energy = 0.5610 eV/atom; total energy = -6.73 eV per atom
1.0
-1.682 -2.050 1.237
0.516 -0.073 -2.879
6.354 -4.457 1.250
Mg Re Y
1 1 1
direct
0.000 0.000 0.970
0.333 0.667 0.679
0.667 0.333 0.351

[8]
YMg2Re (GGA-PBEsol, relaxed); calculated formation energy = 0.3005 eV/atom; total energy = -5.60 eV per atom
1.0
-0.046 2.755 0.811
-3.573 -0.987 3.150
3.817 -2.402 3.576
Mg Re Y
2 1 1
direct
0.695 0.000 0.780
0.305 0.000 0.220
0.500 0.500 0.000
0.000 0.500 0.500